Entry i
First-principles (PBE) data for a geometry-optimized DyAgSnSe3 structure, as listed in the Open Quantum Materials Database.

Properties
Calculated volume (Å³/cell): 297
Space group: Cmcm (63)
Crystal system: orthorhombic

a b c (Å): 4.0962 7.1282 10.6137
angles (deg): 90.00 90.00 73.30
Sites, in units of the cell vectors:
1 Se 0.3547 0.2905 0.5531
2 Se 0.3547 0.2905 0.9469
3 Se 0.0952 0.8097 0.7500
4 Se 0.6453 0.7095 0.4469
5 Se 0.9048 0.1903 0.2500
6 Se 0.6453 0.7095 0.0531
7 Sn 0.7605 0.4790 0.7500
8 Sn 0.2395 0.5210 0.2500
9 Ag 0.5308 0.9385 0.2500
10 Ag 0.4692 0.0615 0.7500
11 Dy 0.0000 0.0000 0.0000
12 Dy 0.0000 0.0000 0.5000

Entry ii
First-principles (PBE) data for a geometry-optimized DyAgSnSe3 structure, as listed in the Open Quantum Materials Database.

Properties
Calculated volume (Å³/cell): 614
Space group: Pnma (62)
Crystal system: orthorhombic

a b c (Å): 12.0197 4.2219 12.0950
angles (deg): 90.00 90.00 90.00
Sites, in units of the cell vectors:
1 Dy 0.6765 0.0000 0.0250
2 Dy 0.3235 0.5000 0.9750
3 Dy 0.1765 0.5000 0.4750
4 Dy 0.8235 0.0000 0.5250
5 Se 0.5646 0.5000 0.9140
6 Se 0.4354 0.0000 0.0860
7 Se 0.9354 0.5000 0.4140
8 Se 0.1481 0.0000 0.9748
9 Se 0.8294 0.0000 0.7633
10 Se 0.3519 0.0000 0.4748
11 Se 0.6706 0.0000 0.2633
12 Se 0.3294 0.5000 0.7367
13 Se 0.0646 0.0000 0.5860
14 Se 0.8519 0.5000 0.0252
15 Se 0.6481 0.5000 0.5252
16 Se 0.1706 0.5000 0.2367
17 Sn 0.5145 0.5000 0.3297
18 Sn 0.9855 0.5000 0.8297
19 Sn 0.0145 0.0000 0.1703
20 Sn 0.4855 0.0000 0.6703
21 Ag 0.3157 0.0000 0.2608
22 Ag 0.8157 0.5000 0.2392
23 Ag 0.1843 0.0000 0.7608
24 Ag 0.6843 0.5000 0.7392

Unit: meV/atom. Relative energies: entry i 0; entry ii 24.

Entry i
First-principles (PBE) data for a geometry-optimized ErAgMo structure, as listed in the Open Quantum Materials Database.

Properties
Calculated volume (Å³/cell): 72
Space group: F-43m (216)
Crystal system: cubic

a b c (Å): 4.6706 4.6706 4.6706
angles (deg): 60.00 60.00 60.00
Last column: magnetic moment on the atom in μB.
Sites, in units of the cell vectors:
1 Er 0.5000 0.5000 0.5000  0.45
2 Ag 0.0000 0.0000 0.0000  0.12
3 Mo 0.7500 0.7500 0.7500  2.23

Entry ii
First-principles (PBE) data for a geometry-optimized ErAgMo structure, as listed in the Open Quantum Materials Database.

Properties
Calculated volume (Å³/cell): 73
Space group: F-43m (216)
Crystal system: cubic

a b c (Å): 4.6882 4.6882 4.6882
angles (deg): 60.00 60.00 60.00
Sites, in units of the cell vectors:
1 Er 0.0000 0.0000 0.0000
2 Ag 0.2500 0.2500 0.2500
3 Mo 0.7500 0.7500 0.7500

Unit: meV/atom. Relative energies: entry i 0; entry ii 195.

Entry i
First-principles (PBE) data for a geometry-optimized ErAgPO structure, as listed in the Open Quantum Materials Database.

Properties
Calculated volume (Å³/cell): 141
Space group: Pmc2_1 (26)
Crystal system: orthorhombic

a b c (Å): 4.1024 6.2087 5.5307
angles (deg): 90.00 90.00 90.00
Sites, in units of the cell vectors:
1 Ag 0.0000 0.3440 0.5329
2 Ag 0.0000 0.6560 0.0329
3 O 0.5000 0.5318 0.8570
4 O 0.5000 0.4682 0.3570
5 P 0.0000 0.0166 0.8011
6 P 0.0000 0.9834 0.3011
7 Er 0.5000 0.7562 0.5629
8 Er 0.5000 0.2438 0.0629

Entry ii
First-principles (PBE) data for a geometry-optimized ErAgPO structure, as listed in the Open Quantum Materials Database.

Properties
Calculated volume (Å³/cell): 135
Space group: P4/nmm (129)
Crystal system: tetragonal

a b c (Å): 3.9259 3.9259 8.7517
angles (deg): 90.00 90.00 90.00
Sites, in units of the cell vectors:
1 O 0.5000 0.5000 0.0000
2 O 0.0000 0.0000 0.0000
3 Er 0.5000 0.0000 0.8787
4 Er 0.0000 0.5000 0.1213
5 P 0.5000 0.0000 0.3072
6 P 0.0000 0.5000 0.6928
7 Ag 0.0000 0.0000 0.5000
8 Ag 0.5000 0.5000 0.5000

Unit: meV/atom. Relative energies: entry i 317; entry ii 0.

Entry i
First-principles (PBE) data for a geometry-optimized ErAgOs structure, as listed in the Open Quantum Materials Database.

Properties
Calculated volume (Å³/cell): 67
Space group: F-43m (216)
Crystal system: cubic

a b c (Å): 4.5687 4.5687 4.5687
angles (deg): 60.00 60.00 60.00
Sites, in units of the cell vectors:
1 Os 0.0000 0.0000 0.0000
2 Ag 0.2500 0.2500 0.2500
3 Er 0.7500 0.7500 0.7500

Entry ii
First-principles (PBE) data for a geometry-optimized ErAgOs structure, as listed in the Open Quantum Materials Database.

Properties
Calculated volume (Å³/cell): 68
Space group: F-43m (216)
Crystal system: cubic

a b c (Å): 4.5842 4.5842 4.5842
angles (deg): 60.00 60.00 60.00
Sites, in units of the cell vectors:
1 Er 0.0000 0.0000 0.0000
2 Ag 0.2500 0.2500 0.2500
3 Os 0.7500 0.7500 0.7500

Unit: meV/atom. Relative energies: entry i 0; entry ii 329.

Entry i
First-principles (PBE) data for a geometry-optimized ErAgPd structure, as listed in the Open Quantum Materials Database.

Properties
Calculated volume (Å³/cell): 71
Space group: F-43m (216)
Crystal system: cubic

a b c (Å): 4.6490 4.6490 4.6490
angles (deg): 60.00 60.00 60.00
Sites, in units of the cell vectors:
1 Pd 0.7500 0.7500 0.7500
2 Er 0.0000 0.0000 0.0000
3 Ag 0.2500 0.2500 0.2500

Entry ii
First-principles (PBE) data for a geometry-optimized ErAgPd structure, as listed in the Open Quantum Materials Database.

Properties
Calculated volume (Å³/cell): 68
Space group: F-43m (216)
Crystal system: cubic

a b c (Å): 4.5903 4.5903 4.5903
angles (deg): 60.00 60.00 60.00
Sites, in units of the cell vectors:
1 Pd 0.0000 0.0000 0.0000
2 Ag 0.2500 0.2500 0.2500
3 Er 0.7500 0.7500 0.7500

Unit: meV/atom. Relative energies: entry i 337; entry ii 0.

Entry i
First-principles (PBE) data for a geometry-optimized ErAgSnS3 structure, as listed in the Open Quantum Materials Database.

Properties
Calculated volume (Å³/cell): 547
Space group: Pnma (62)
Crystal system: orthorhombic

a b c (Å): 10.4629 4.0109 13.0309
angles (deg): 90.00 90.00 90.00
Sites, in units of the cell vectors:
1 Ag 0.2656 0.7500 0.7132
2 Ag 0.7656 0.7500 0.7868
3 Ag 0.7344 0.2500 0.2868
4 Ag 0.2344 0.2500 0.2132
5 Sn 0.2034 0.7500 0.9873
6 Sn 0.7034 0.7500 0.5127
7 Sn 0.2966 0.2500 0.4873
8 Sn 0.7966 0.2500 0.0127
9 Er 0.5213 0.2500 0.7630
10 Er 0.9787 0.7500 0.2630
11 Er 0.4787 0.7500 0.2370
12 Er 0.0213 0.2500 0.7370
13 S 0.0701 0.7500 0.6084
14 S 0.9707 0.7500 0.8857
15 S 0.5701 0.7500 0.8916
16 S 0.7368 0.7500 0.1598
17 S 0.5293 0.2500 0.3857
18 S 0.9299 0.2500 0.3916
19 S 0.0293 0.2500 0.1143
20 S 0.4707 0.7500 0.6143
21 S 0.2368 0.7500 0.3402
22 S 0.7632 0.2500 0.6598
23 S 0.4299 0.2500 0.1084
24 S 0.2632 0.2500 0.8402

Entry ii
First-principles (PBE) data for a geometry-optimized ErAgSnS3 structure, as listed in the Open Quantum Materials Database.

Properties
Calculated volume (Å³/cell): 579
Space group: Pnma (62)
Crystal system: orthorhombic

a b c (Å): 11.9158 3.9104 12.4294
angles (deg): 90.00 90.00 90.00
Sites, in units of the cell vectors:
1 Er 0.9855 0.5000 0.3510
2 Er 0.0145 0.0000 0.6490
3 Er 0.4855 0.5000 0.1490
4 Er 0.5145 0.0000 0.8510
5 Ag 0.3015 0.0000 0.3888
6 Ag 0.1985 0.5000 0.8888
7 Ag 0.6985 0.5000 0.6112
8 Ag 0.8015 0.0000 0.1112
9 Sn 0.8304 0.5000 0.9177
10 Sn 0.6696 0.0000 0.4177
11 Sn 0.1696 0.0000 0.0823
12 Sn 0.3304 0.5000 0.5823
13 S 0.7439 0.0000 0.7997
14 S 0.5138 0.5000 0.6962
15 S 0.1056 0.0000 0.4486
16 S 0.3944 0.5000 0.9486
17 S 0.2439 0.0000 0.7003
18 S 0.6056 0.0000 0.0514
19 S 0.2561 0.5000 0.2003
20 S 0.8944 0.5000 0.5514
21 S 0.4862 0.0000 0.3038
22 S 0.7561 0.5000 0.2997
23 S 0.0138 0.5000 0.8038
24 S 0.9862 0.0000 0.1962

Entry iii
First-principles (PBE) data for a geometry-optimized ErAgSnS3 structure, as listed in the Open Quantum Materials Database.

Properties
Calculated volume (Å³/cell): 267
Space group: Cmcm (63)
Crystal system: orthorhombic

a b c (Å): 6.7932 6.7932 10.3284
angles (deg): 90.00 90.00 34.14
Sites, in units of the cell vectors:
1 Sn 0.2568 0.2568 0.7500
2 Sn 0.7432 0.7432 0.2500
3 Ag 0.4585 0.4585 0.2500
4 Ag 0.5415 0.5415 0.7500
5 Er 0.0000 0.0000 0.5000
6 Er 0.0000 0.0000 0.0000
7 S 0.9114 0.9114 0.7500
8 S 0.0886 0.0886 0.2500
9 S 0.6408 0.6408 0.9534
10 S 0.3592 0.3592 0.4534
11 S 0.6408 0.6408 0.5466
12 S 0.3592 0.3592 0.0466

Entry iv
First-principles (PBE) data for a geometry-optimized ErAgSnS3 structure, as listed in the Open Quantum Materials Database.

Properties
Calculated volume (Å³/cell): 558
Space group: Pnma (62)
Crystal system: orthorhombic

a b c (Å): 8.4519 3.9808 16.5925
angles (deg): 90.00 90.00 90.00
Sites, in units of the cell vectors:
1 Er 0.1819 0.7500 0.4396
2 Er 0.3181 0.2500 0.9396
3 Er 0.6819 0.7500 0.0604
4 Er 0.8181 0.2500 0.5604
5 S 0.1016 0.7500 0.8947
6 S 0.3763 0.2500 0.7783
7 S 0.3984 0.2500 0.3947
8 S 0.3636 0.7500 0.0486
9 S 0.1364 0.2500 0.5486
10 S 0.6237 0.7500 0.2217
11 S 0.1237 0.7500 0.2783
12 S 0.6364 0.2500 0.9514
13 S 0.8984 0.2500 0.1053
14 S 0.8763 0.2500 0.7217
15 S 0.8636 0.7500 0.4514
16 S 0.6016 0.7500 0.6053
17 Sn 0.1661 0.7500 0.7387
18 Sn 0.3339 0.2500 0.2387
19 Sn 0.8339 0.2500 0.2613
20 Sn 0.6661 0.7500 0.7613
21 Ag 0.4046 0.2500 0.6086
22 Ag 0.0954 0.7500 0.1086
23 Ag 0.9046 0.2500 0.8914
24 Ag 0.5954 0.7500 0.3914

Unit: meV/atom. Relative energies: entry i 38; entry ii 0; entry iii 51; entry iv 6.

Entry i
First-principles (PBE) data for a geometry-optimized ErScAg structure, as listed in the Open Quantum Materials Database.

Properties
Calculated volume (Å³/cell): 77
Space group: F-43m (216)
Crystal system: cubic

a b c (Å): 4.7725 4.7725 4.7725
angles (deg): 60.00 60.00 60.00
Sites, in units of the cell vectors:
1 Ag 0.2500 0.2500 0.2500
2 Sc 0.7500 0.7500 0.7500
3 Er 0.0000 0.0000 0.0000

Entry ii
First-principles (PBE) data for a geometry-optimized ErScAg structure, as listed in the Open Quantum Materials Database.

Properties
Calculated volume (Å³/cell): 75
Space group: F-43m (216)
Crystal system: cubic

a b c (Å): 4.7310 4.7310 4.7310
angles (deg): 60.00 60.00 60.00
Sites, in units of the cell vectors:
1 Er 0.7500 0.7500 0.7500
2 Sc 0.0000 0.0000 0.0000
3 Ag 0.2500 0.2500 0.2500

Unit: meV/atom. Relative energies: entry i 74; entry ii 0.

Entry i
First-principles (PBE) data for a geometry-optimized ErAgSnTe3 structure, as listed in the Open Quantum Materials Database.

Properties
Calculated volume (Å³/cell): 351
Space group: Cmcm (63)
Crystal system: orthorhombic

a b c (Å): 4.2990 7.6513 11.1284
angles (deg): 90.00 90.00 73.68
Sites, in units of the cell vectors:
1 Te 0.9033 0.1933 0.2500
2 Te 0.3532 0.2936 0.5533
3 Te 0.6468 0.7064 0.4467
4 Te 0.6468 0.7064 0.0533
5 Te 0.0966 0.8067 0.7500
6 Te 0.3532 0.2936 0.9467
7 Er 0.0000 0.0000 0.0000
8 Er 0.0000 0.0000 0.5000
9 Sn 0.7702 0.4596 0.7500
10 Sn 0.2298 0.5404 0.2500
11 Ag 0.4720 0.0560 0.7500
12 Ag 0.5280 0.9440 0.2500

Entry ii
First-principles (PBE) data for a geometry-optimized ErAgSnTe3 structure, as listed in the Open Quantum Materials Database.

Properties
Calculated volume (Å³/cell): 704
Space group: Pnma (62)
Crystal system: orthorhombic

a b c (Å): 12.5190 4.4648 12.5890
angles (deg): 90.00 90.00 90.00
Sites, in units of the cell vectors:
1 Te 0.5897 0.0000 0.0638
2 Te 0.9749 0.0000 0.1342
3 Te 0.4103 0.5000 0.9362
4 Te 0.0897 0.0000 0.4362
5 Te 0.2241 0.5000 0.1680
6 Te 0.9103 0.5000 0.5638
7 Te 0.0251 0.5000 0.8658
8 Te 0.7759 0.0000 0.8320
9 Te 0.4749 0.0000 0.3658
10 Te 0.7241 0.5000 0.3320
11 Te 0.5251 0.5000 0.6342
12 Te 0.2759 0.0000 0.6680
13 Sn 0.3130 0.5000 0.4837
14 Sn 0.1870 0.0000 0.9837
15 Sn 0.6870 0.0000 0.5163
16 Sn 0.8130 0.5000 0.0163
17 Er 0.9729 0.5000 0.3123
18 Er 0.5271 0.0000 0.8123
19 Er 0.0271 0.0000 0.6877
20 Er 0.4729 0.5000 0.1877
21 Ag 0.7634 0.0000 0.2007
22 Ag 0.2634 0.0000 0.2993
23 Ag 0.7366 0.5000 0.7007
24 Ag 0.2366 0.5000 0.7993

Unit: meV/atom. Relative energies: entry i 0; entry ii 55.

Entry i
First-principles (PBE) data for a geometry-optimized AgF structure, as listed in the Open Quantum Materials Database.

Properties
Calculated volume (Å³/cell): 56
Space group: Cmcm (63)
Crystal system: orthorhombic

a b c (Å): 5.1656 5.1656 3.5517
angles (deg): 90.00 90.00 143.53
Sites, in units of the cell vectors:
1 Ag 0.8866 0.1134 0.7500
2 Ag 0.1134 0.8866 0.2500
3 F 0.3655 0.6345 0.2500
4 F 0.6345 0.3655 0.7500

Entry ii
First-principles (PBE) data for a geometry-optimized AgF structure, as listed in the Open Quantum Materials Database.

Properties
Calculated volume (Å³/cell): 61
Space group: I4/mmm (139)
Crystal system: tetragonal

a b c (Å): 5.8927 5.8927 5.8927
angles (deg): 146.87 146.87 47.55
Sites, in units of the cell vectors:
1 F 0.3603 0.3603 0.0000
2 F 0.6397 0.6397 0.0000
3 Ag 0.1289 0.1289 0.0000
4 Ag 0.8711 0.8711 0.0000

Entry iii
First-principles (PBE) data for a geometry-optimized AgF structure, as listed in the Open Quantum Materials Database.

Properties
Calculated volume (Å³/cell): 73
Space group: P6_3mc (186)
Crystal system: hexagonal

a b c (Å): 3.7239 3.7239 6.0842
angles (deg): 90.00 90.00 120.00
Sites, in units of the cell vectors:
1 F 0.3333 0.6667 0.8750
2 F 0.0000 0.0000 0.3750
3 Ag 0.3333 0.6667 0.5000
4 Ag 0.0000 0.0000 0.0000

Unit: meV/atom. Relative energies: entry i 0; entry ii 25; entry iii 80.

Entry i
First-principles (PBE) data for a geometry-optimized AgF structure, as listed in the Open Quantum Materials Database.

Properties
Calculated volume (Å³/cell): 57
Space group: P2_1/m (11)
Crystal system: monoclinic

a b c (Å): 3.4308 3.4058 4.9556
angles (deg): 90.00 100.29 90.00
Sites, in units of the cell vectors:
1 Ag 0.1859 0.2500 0.7217
2 Ag 0.8141 0.7500 0.2783
3 F 0.3085 0.2500 0.2271
4 F 0.6915 0.7500 0.7729

Entry ii
First-principles (PBE) data for a geometry-optimized AgF structure, as listed in the Open Quantum Materials Database.

Properties
Calculated volume (Å³/cell): 27
Space group: P-6m2 (187)
Crystal system: hexagonal

a b c (Å): 2.9750 2.9749 3.5179
angles (deg): 90.00 90.00 120.00
Sites, in units of the cell vectors:
1 F 0.3333 0.6667 0.2500
2 Ag 0.6667 0.3333 0.7500

Unit: meV/atom. Relative energies: entry i 0; entry ii 34.